Record 1
Material: NpCuNi4H8
Method: DFT, PBE
State: optimized geometry

The value obtained for the mass density is 7.14 g cm⁻³. For the uncorrected energy, the calculation gives -4.70 eV per atom.

The structure belongs to space group R3m (No. 160, hexagonal axes); the cell edges are 5.0173, 5.0173 and 17.4012 Å and the angles 90.00°, 90.00° and 120.00°. The asymmetric unit holds Np at (0.0000, 0.0000, 0.0000), Cu at (0.0000, 0.0000, 0.4295), Ni at (0.0000, 0.0000, 0.5845), Ni at (0.1672, 0.3343, 0.8363), H at (0.0000, 0.0000, 0.2212), H at (0.0000, 0.0000, 0.7858), H at (0.0441, 0.5220, 0.7757) and H at (0.1800, 0.3600, 0.5612).

***

Record 2
Material: Nb2BiP
Method: DFT, PBE
State: optimized geometry

As for the formation energy: 44.5 kJ/mol of atoms. The value obtained for the mass density is 7.01 g cm⁻³. For the uncorrected energy, the calculation gives -6.90 eV per atom.

The structure belongs to space group I-42d (No. 122); the cell edges are 5.096, 5.096 and 15.532 Å and the angles 90.00°, 90.00° and 90.00°. The asymmetric unit holds Nb at (0.141, 0.250, 0.125), Bi at (0.000, 0.000, 0.500) and P at (0.000, 0.000, 0.000).

***

Record 3
Material: Li3In2
Method: DFT, PBE
State: optimized geometry

As for the formation energy: -19.9 kJ/mol of atoms. The value obtained for the mass density is 3.73 g cm⁻³. As for the energy above the most stable polymorph in this dataset: 92 meV/atom. For the uncorrected energy, the calculation gives -2.45 eV per atom.

The structure belongs to space group P-3m1 (No. 164); the cell edges are 4.7282, 4.7282 and 5.7618 Å and the angles 90.00°, 90.00° and 120.00°. The asymmetric unit holds Li at (0.0000, 0.0000, 0.0000), Li at (0.3333, 0.6667, 0.3646) and In at (0.3333, 0.6667, 0.8667).

***

Record 4
Material: Co10GeB3
Method: DFT, PBE
State: optimized geometry

As for the formation energy: -17.7 kJ/mol of atoms. The value obtained for the mass density is 8.20 g cm⁻³. For the uncorrected energy, the calculation gives -7.02 eV per atom.

The structure belongs to space group Fm-3m (No. 225); the cell edges are 10.399, 10.399 and 10.399 Å and the angles 90.00°, 90.00° and 90.00°. The asymmetric unit holds Co at (0.000, 0.166, 0.166), Co at (0.119, 0.119, 0.381), Ge at (0.250, 0.250, 0.250) and B at (0.000, 0.000, 0.278).